# 1
The following is a DFT calculation (PBE) of a relaxed structure of Sr2NiIr.

## Properties
As for the space group: No. 44. The value obtained for the formation energy is -21 meV/atom. For the uncorrected energy, the calculation gives -4.5229 eV per atom. Its crystal system is orthorhombic.

a b c (Å): 7.479 7.479 7.479
angles (deg): 146.94 145.95 48.19
Site moments in Bohr magnetons follow the coordinates.
Sites, in units of the cell vectors:
Sr 0.995 0.995 0.000  0.00
Sr 0.757 0.257 0.500  -0.01
Ir 0.407 0.407 0.000  0.14
Ni 0.341 0.841 0.500  0.23

---

# 2
The following is a DFT calculation (PBE) of a relaxed structure of PrPu2ThSb4.

## Properties
As for the space group: No. 10. The calculation puts the raw formation energy at -6.85 eV per formula unit. For the uncorrected energy, the calculation gives -8.0251 eV per atom. Its crystal system is monoclinic.

a b c (Å): 4.496 7.742 7.786
angles (deg): 70.44 90.00 90.00
Site moments in Bohr magnetons follow the coordinates.
Sites, in units of the cell vectors:
Sb 0.000 0.242 0.255  -0.07
Sb 0.500 0.244 0.750  -0.06
Sb 0.000 0.758 0.745  -0.07
Sb 0.500 0.756 0.250  -0.06
Pr 0.500 0.500 0.000  0.01
Pu 0.000 0.000 0.000  5.30
Pu 0.500 0.000 0.500  5.26
Th 0.000 0.500 0.500  -0.01

---

# 3
The following is a DFT calculation (PBE) of a relaxed structure of Al2FeH.

## Properties
As for the space group: No. 225. For the uncorrected energy, the calculation gives -4.4358 eV per atom. For the relative energy among the computed polymorphs, the calculation gives 0.3983 eV/atom. Its crystal system is cubic.

a b c (Å): 4.072 4.072 4.072
angles (deg): 60.00 60.00 60.00
Site moments in Bohr magnetons follow the coordinates.
Sites, in units of the cell vectors:
Al 0.250 0.250 0.250  -0.03
Al 0.750 0.750 0.750  -0.03
Fe 0.500 0.500 0.500  1.43
H 0.000 0.000 0.000  0.05

---

# 4
The following is a DFT calculation (PBE) of a relaxed structure of YTmInAg.

## Properties
As for the space group: No. 216. The value obtained for the formation energy is -411 meV/atom. For the uncorrected energy, the calculation gives -4.5423 eV per atom. Its crystal system is cubic.

a b c (Å): 5.221 5.221 5.221
angles (deg): 60.00 60.00 60.00
Sites, in units of the cell vectors:
Tm 0.250 0.250 0.250
Y 0.750 0.750 0.750
Ag 0.000 0.000 0.000
In 0.500 0.500 0.500

---

- Among the records above, which one has the lowest uncorrected energy?
  PrPu2ThSb4